# Li7Tl2Cd (PBE, relaxed)
data_Li7Tl2Cd
_cell_length_a 6.936
_cell_length_b 6.936
_cell_length_c 6.936
_cell_angle_alpha 60.00
_cell_angle_beta 60.00
_cell_angle_gamma 60.00
_space_group_name_H-M_alt 'P 1'
_space_group_IT_number 1
_space_group_name_Hall 'P 1'
loop_
_atom_site_label
_atom_site_type_symbol
_atom_site_fract_x
_atom_site_fract_y
_atom_site_fract_z
_atom_site_occupancy
Li1 Li 0.000 0.000 0.000 1
Li2 Li 0.244 0.244 0.756 1
Li3 Li 0.244 0.756 0.244 1
Li4 Li 0.244 0.756 0.756 1
Li5 Li 0.756 0.244 0.244 1
Li6 Li 0.756 0.244 0.756 1
Li7 Li 0.756 0.756 0.244 1
Tl1 Tl 0.250 0.250 0.250 1
Tl2 Tl 0.750 0.750 0.750 1
Cd1 Cd 0.500 0.500 0.500 1
# E: -1.746 eV/atom
# Energy of formation: 0.1582 eV per atom
# Magnetic moment: 0.00 μB/cell
# N(E_F): 5.65 states/eV per cell